Entry from Alexandria: Na2AlGaSe4 after structural relaxation (PBE-GGA).

Cell and atoms, written as POSCAR:
```
Na2AlGaSe4
1.0
-3.330 3.330 4.903
3.330 -3.330 4.903
3.330 3.330 -4.903
Na Al Ga Se
2 1 1 4
Direct
0.000 0.000 0.000
0.750 0.250 0.500
0.500 0.500 0.000
0.250 0.750 0.500
0.187 0.128 0.560
0.374 0.813 0.942
0.568 0.626 0.440
0.872 0.432 0.058
```

Output
Fermi-level density of states ... 0.00 states/eV/f.u.
Energy relative to the elements, uncorrected ... -0.955 eV/atom